Material: CsHgSb
Method: DFT, GGA-PBE
State: optimized geometry

It has space group P-1 (No. 2), with a = 4.934 Å, b = 7.148 Å, c = 7.498 Å, α = 101.17°, β = 105.28° and γ = 102.54°. The asymmetric unit holds Cs at (0.240, 0.214, 0.355), Hg at (0.499, 0.179, 0.929) and Sb at (0.023, 0.379, 0.829).

The size of the total moment comes out at 0.0 μB/cell. Its formation energy without anion corrections is -291 meV/atom. As for the raw total energy: -0.075 hartree per atom. Its crystal system is triclinic.

---

Material: CsHgSb
Method: DFT, GGA-PBE
State: optimized geometry

It has space group P2_1/m (No. 11), with a = 5.867 Å, b = 5.162 Å, c = 8.814 Å, α = 90.00°, β = 92.50° and γ = 90.00°. The asymmetric unit holds Cs at (0.002, 0.250, 0.238), Hg at (0.448, 0.750, 0.411) and Sb at (0.452, 0.250, 0.928).

The size of the total moment comes out at 0.0 μB/cell. Its formation energy without anion corrections is -305 meV/atom. As for the raw total energy: -0.076 hartree per atom. Its crystal system is monoclinic.

---

Material: Cs2Hg7Sb
Method: DFT, GGA-PBE
State: optimized geometry

It has space group P-4m2 (No. 115), with a = 5.415 Å, b = 5.415 Å, c = 12.032 Å, α = 90.00°, β = 90.00° and γ = 90.00°. The asymmetric unit holds Cs at (0.000, 0.500, 0.248), Hg at (0.000, 0.000, 0.000), Hg at (0.000, 0.000, 0.500), Hg at (0.000, 0.500, 0.629), Hg at (0.000, 0.500, 0.878), Hg at (0.500, 0.500, 0.500) and Sb at (0.500, 0.500, 0.000).

The size of the total moment comes out at 0.0 μB/cell. Its formation energy without anion corrections is -200 meV/atom. As for the raw total energy: -0.037 hartree per atom. Its crystal system is tetragonal. The calculation puts the offset from the most stable computed form at 0 meV/atom.

---

Material: CsHgSb
Method: DFT, GGA-PBE
State: optimized geometry

It has space group Pnma (No. 62), with a = 11.737 Å, b = 4.405 Å, c = 10.687 Å, α = 90.00°, β = 90.00° and γ = 90.00°. The asymmetric unit holds Cs at (0.196, 0.250, 0.106), Hg at (0.067, 0.250, 0.765) and Sb at (0.068, 0.250, 0.452).

The size of the total moment comes out at 0.0 μB/cell. Its formation energy without anion corrections is -298 meV/atom. As for the raw total energy: -0.076 hartree per atom. Its crystal system is orthorhombic.